[1]
ZnPCS2: optimized geometry, PBEsol.

Values from the calculation:
Symmetry   P4/mmm
DFT total energy   -3.10 eV per atom
Theoretical density   3.12 Mg/m³
Formation energy (no corrections)   2053 meV per atom

Cell lengths 4.4876, 4.4876, 4.5662 Å; angles 90.00, 90.00, 90.00 degrees
With the nearest neighbours (Å) after each atom.
Fractional coordinates of all 5 atoms:
Zn 0.0000 0.0000 0.0000  4 S 2.24, 2 P 2.28
P 0.0000 0.0000 0.5000  2 Zn 2.28
C 0.5000 0.5000 0.5000  4 P 3.17, 8 S 3.20
S 0.0000 0.5000 0.0000  2 Zn 2.24
S 0.5000 0.0000 0.0000  2 Zn 2.24

---

[2]
LiLaSi2: optimized geometry, PBEsol.

Values from the calculation:
Symmetry   C2/m
DFT total energy   -5.21 eV per atom
Theoretical density   4.18 Mg/m³
Formation energy (no corrections)   -512 meV per atom

Cell lengths 4.4629, 4.4629, 5.5442 Å; angles 108.68, 108.68, 51.03 degrees
With the nearest neighbours (Å) after each atom.
Fractional coordinates of all 4 atoms:
Li 0.0000 0.0000 0.0000  6 Si 2.49-2.60
La 0.5000 0.5000 0.5000  8 Si 3.08-3.31, 4 Li 3.37
Si 0.2680 0.2680 0.8742  2 Si 2.45, 3 Li 2.49-2.60
Si 0.7320 0.7320 0.1258  2 Si 2.45, 3 Li 2.49-2.60

---

[3]
ZnCo2Cl: optimized geometry, PBEsol.

Values from the calculation:
Symmetry   R-3m
DFT total energy   -4.49 eV per atom
Theoretical density   7.25 Mg/m³
Formation energy (no corrections)   275 meV per atom

Cell lengths 7.5525, 7.5525, 7.5525 Å; angles 21.36, 21.36, 21.36 degrees
With the nearest neighbours (Å) after each atom.
Fractional coordinates of all 4 atoms:
Zn 0.0000 0.0000 0.0000  6 Co 2.51, 6 Zn 2.80
Co 0.2463 0.2463 0.2463  3 Cl 2.39, 3 Zn 2.51
Co 0.7537 0.7537 0.7537  3 Cl 2.39, 3 Zn 2.51
Cl 0.5000 0.5000 0.5000  6 Co 2.39

---

[4]
AsPRhBr2: optimized geometry, PBEsol.

Values from the calculation:
Symmetry   P4/mmm
DFT total energy   -3.89 eV per atom
Theoretical density   5.42 Mg/m³
Formation energy (no corrections)   669 meV per atom

Cell lengths 4.9193, 4.9193, 4.6704 Å; angles 90.00, 90.00, 90.00 degrees
With the nearest neighbours (Å) after each atom.
Fractional coordinates of all 5 atoms:
As 0.0000 0.0000 0.0000  2 Rh 2.34
P 0.5000 0.5000 0.0000  8 Br 3.39, 4 As 3.48
Rh 0.0000 0.0000 0.5000  2 As 2.34, 4 Br 2.46
Br 0.0000 0.5000 0.5000  2 Rh 2.46
Br 0.5000 0.0000 0.5000  2 Rh 2.46

---

[5]
As2Ru: optimized geometry, PBEsol.

Values from the calculation:
Symmetry   Pnnm
DFT total energy   -7.21 eV per atom
Theoretical density   8.39 Mg/m³
ΔE_f   -40 kJ/mol of atoms

Cell lengths 5.4296, 6.1678, 2.9664 Å; angles 90.00, 90.00, 90.00 degrees
With the nearest neighbours (Å) after each atom.
Fractional coordinates of all 6 atoms:
As 0.1710 0.1352 0.0000  3 Ru 2.43-2.47, 1 As 2.50
As 0.3290 0.6352 0.5000  3 Ru 2.43-2.47, 1 As 2.50
As 0.6710 0.3648 0.5000  3 Ru 2.43-2.47, 1 As 2.50
As 0.8290 0.8648 0.0000  3 Ru 2.43-2.47, 1 As 2.50
Ru 0.0000 0.5000 0.0000  6 As 2.43-2.47
Ru 0.5000 0.0000 0.5000  6 As 2.43-2.47

---

[6]
MgSn2Pb2: optimized geometry, PBEsol.

Values from the calculation:
Symmetry   I4/mmm
DFT total energy   -3.51 eV per atom
Theoretical density   7.58 Mg/m³
ΔE_f   13 kJ/mol of atoms

Cell lengths 8.6590, 8.6590, 8.6590 Å; angles 151.43, 151.43, 40.85 degrees
With the nearest neighbours (Å) after each atom.
Fractional coordinates of all 5 atoms:
Mg 0.0000 0.0000 0.0000  8 Pb 3.41
Sn 0.2500 0.7500 0.5000  4 Sn 3.02, 4 Pb 3.27
Sn 0.7500 0.2500 0.5000  4 Sn 3.02, 4 Pb 3.27
Pb 0.4024 0.4024 0.0000  1 Pb 3.17, 4 Sn 3.27, 4 Mg 3.41
Pb 0.5976 0.5976 0.0000  1 Pb 3.17, 4 Sn 3.27, 4 Mg 3.41

---

[7]
LaHg2Os: optimized geometry, PBEsol.

Values from the calculation:
Symmetry   I-4m2
DFT total energy   -4.39 eV per atom
Theoretical density   14.19 Mg/m³
ΔE_f   28 kJ/mol of atoms

Cell lengths 5.3283, 5.3283, 5.3283 Å; angles 130.49, 130.49, 72.62 degrees
With the nearest neighbours (Å) after each atom.
Fractional coordinates of all 4 atoms:
La 0.0000 0.0000 0.0000  4 Os 3.10, 8 Hg 3.10-3.16
Hg 0.2500 0.7500 0.5000  4 Hg 3.10, 4 La 3.10, 4 Os 3.16
Hg 0.5000 0.5000 0.0000  4 Hg 3.10, 4 Os 3.10, 4 La 3.16
Os 0.7500 0.2500 0.5000  8 Hg 3.10-3.16, 4 La 3.10

---

[8]
TmB2Ir3: optimized geometry, PBEsol.

Values from the calculation:
Symmetry   P6/mmm
DFT total energy   -8.78 eV per atom
Theoretical density   16.22 Mg/m³
ΔE_f   -69 kJ/mol of atoms

Cell lengths 5.3869, 5.3869, 3.1257 Å; angles 90.00, 90.00, 120.00 degrees
With the nearest neighbours (Å) after each atom.
Fractional coordinates of all 6 atoms:
Tm 0.0000 0.0000 0.0000  6 B 3.11, 12 Ir 3.11, 2 Tm 3.13
B 0.3333 0.6667 0.0000  6 Ir 2.20
B 0.6667 0.3333 0.0000  6 Ir 2.20
Ir 0.0000 0.5000 0.5000  4 B 2.20
Ir 0.5000 0.0000 0.5000  4 B 2.20
Ir 0.5000 0.5000 0.5000  4 B 2.20